Record 1
# PBE Tb2YHoSe6, relaxed
data_Tb2YHoSe6
_symmetry_space_group_name_H-M 'P 1'
_symmetry_Int_Tables_number 1
_cell_length_a 7.7116
_cell_length_b 7.7116
_cell_length_c 7.7116
_cell_angle_alpha 55.80
_cell_angle_beta 55.80
_cell_angle_gamma 55.80
loop_
_symmetry_equiv_pos_as_xyz
'x,y,z'
loop_
_atom_site_label
_atom_site_type_symbol
_atom_site_fract_x
_atom_site_fract_y
_atom_site_fract_z
Tb1 Tb 0.0000 0.0000 0.0000
Tb2 Tb 0.4998 0.4998 0.4998
Y1 Y 0.1964 0.1964 0.1964
Ho1 Ho 0.6961 0.6961 0.6961
Se1 Se 0.0947 0.7953 0.4060
Se2 Se 0.2965 0.5965 0.9041
Se3 Se 0.4060 0.0947 0.7953
Se4 Se 0.5965 0.9041 0.2965
Se5 Se 0.7953 0.4060 0.0947
Se6 Se 0.9041 0.2965 0.5965
# **Uncorrected formation energy**: -1.857 eV per atom

Record 2
# PBE TaSnOF2, relaxed
data_TaSnOF2
_symmetry_space_group_name_H-M 'P 1'
_symmetry_Int_Tables_number 1
_cell_length_a 4.4455
_cell_length_b 4.4455
_cell_length_c 3.9596
_cell_angle_alpha 90.00
_cell_angle_beta 90.00
_cell_angle_gamma 90.00
loop_
_symmetry_equiv_pos_as_xyz
'x,y,z'
loop_
_atom_site_label
_atom_site_type_symbol
_atom_site_fract_x
_atom_site_fract_y
_atom_site_fract_z
Ta1 Ta 0.0000 0.0000 0.0000
Sn1 Sn 0.5000 0.5000 0.5000
O1 O 0.0000 0.0000 0.5000
F1 F 0.0000 0.5000 0.0000
F2 F 0.5000 0.0000 0.0000
# **Uncorrected formation energy**: -1.564 eV per atom

Record 3
# PBE SiC2F, relaxed
data_SiC2F
_symmetry_space_group_name_H-M 'P 1'
_symmetry_Int_Tables_number 1
_cell_length_a 10.3075
_cell_length_b 10.3075
_cell_length_c 10.3075
_cell_angle_alpha 163.82
_cell_angle_beta 163.82
_cell_angle_gamma 22.96
loop_
_symmetry_equiv_pos_as_xyz
'x,y,z'
loop_
_atom_site_label
_atom_site_type_symbol
_atom_site_fract_x
_atom_site_fract_y
_atom_site_fract_z
Si1 Si 0.3750 0.6250 0.7500
Si2 Si 0.6250 0.3750 0.2500
C1 C 0.0000 0.5000 0.5000
C2 C 0.5000 0.0000 0.0000
C3 C 0.5000 0.5000 0.0000
C4 C 0.5000 0.5000 0.5000
F1 F 0.1250 0.8750 0.2500
F2 F 0.8750 0.1250 0.7500
# **Uncorrected formation energy**: 0.883 eV per atom

Record 4
# PBE BeSiSn, relaxed
data_BeSiSn
_symmetry_space_group_name_H-M 'P 1'
_symmetry_Int_Tables_number 1
_cell_length_a 3.3290
_cell_length_b 3.9207
_cell_length_c 9.1592
_cell_angle_alpha 80.89
_cell_angle_beta 79.61
_cell_angle_gamma 68.45
loop_
_symmetry_equiv_pos_as_xyz
'x,y,z'
loop_
_atom_site_label
_atom_site_type_symbol
_atom_site_fract_x
_atom_site_fract_y
_atom_site_fract_z
Be1 Be 0.1367 0.2376 0.4588
Be2 Be 0.8633 0.7624 0.5412
Si1 Si 0.4873 0.6813 0.3654
Si2 Si 0.5127 0.3187 0.6346
Sn1 Sn 0.3208 0.7772 0.8629
Sn2 Sn 0.6792 0.2228 0.1371
# **Uncorrected formation energy**: 0.245 eV per atom

Record 5
# PBE MgSc2Co, relaxed
data_MgSc2Co
_symmetry_space_group_name_H-M 'P 1'
_symmetry_Int_Tables_number 1
_cell_length_a 9.7228
_cell_length_b 9.7228
_cell_length_c 9.7228
_cell_angle_alpha 19.81
_cell_angle_beta 19.81
_cell_angle_gamma 19.81
loop_
_symmetry_equiv_pos_as_xyz
'x,y,z'
loop_
_atom_site_label
_atom_site_type_symbol
_atom_site_fract_x
_atom_site_fract_y
_atom_site_fract_z
Mg1 Mg 0.0000 0.0000 0.0000
Sc1 Sc 0.1118 0.1118 0.1118
Sc2 Sc 0.8882 0.8882 0.8882
Co1 Co 0.5000 0.5000 0.5000
# **VASP energy**: -5.214 eV per atom

Record 6
# PBE CuSbI2O, relaxed
data_CuSbI2O
_symmetry_space_group_name_H-M 'P 1'
_symmetry_Int_Tables_number 1
_cell_length_a 6.0666
_cell_length_b 6.0666
_cell_length_c 4.0174
_cell_angle_alpha 90.00
_cell_angle_beta 90.00
_cell_angle_gamma 90.00
loop_
_symmetry_equiv_pos_as_xyz
'x,y,z'
loop_
_atom_site_label
_atom_site_type_symbol
_atom_site_fract_x
_atom_site_fract_y
_atom_site_fract_z
Cu1 Cu 0.0000 0.0000 0.0000
Sb1 Sb 0.5000 0.5000 0.0000
I1 I 0.0000 0.5000 0.5000
I2 I 0.5000 0.0000 0.5000
O1 O 0.5000 0.5000 0.5000
# **Uncorrected formation energy**: 0.470 eV per atom

Record 7
# PBE Pa6WN12, relaxed
data_Pa6WN12
_symmetry_space_group_name_H-M 'P 1'
_symmetry_Int_Tables_number 1
_cell_length_a 6.5363
_cell_length_b 6.5363
_cell_length_c 6.5363
_cell_angle_alpha 98.57
_cell_angle_beta 98.57
_cell_angle_gamma 98.57
loop_
_symmetry_equiv_pos_as_xyz
'x,y,z'
loop_
_atom_site_label
_atom_site_type_symbol
_atom_site_fract_x
_atom_site_fract_y
_atom_site_fract_z
Pa1 Pa 0.1016 0.6347 0.7918
Pa2 Pa 0.2082 0.8984 0.3653
Pa3 Pa 0.3653 0.2082 0.8984
Pa4 Pa 0.6347 0.7918 0.1016
Pa5 Pa 0.7918 0.1016 0.6347
Pa6 Pa 0.8984 0.3653 0.2082
W1 W 0.5000 0.5000 0.5000
N1 N 0.0645 0.3254 0.9048
N2 N 0.0952 0.9355 0.6746
N3 N 0.1945 0.5506 0.4330
N4 N 0.3254 0.9048 0.0645
N5 N 0.4330 0.1945 0.5506
N6 N 0.4494 0.5670 0.8055
N7 N 0.5506 0.4330 0.1945
N8 N 0.5670 0.8055 0.4494
N9 N 0.6746 0.0952 0.9355
N10 N 0.8055 0.4494 0.5670
N11 N 0.9048 0.0645 0.3254
N12 N 0.9355 0.6746 0.0952
# **Uncorrected formation energy**: -1.524 eV per atom

Record 8
# PBE NaYNb2, relaxed
data_NaYNb2
_symmetry_space_group_name_H-M 'P 1'
_symmetry_Int_Tables_number 1
_cell_length_a 5.0007
_cell_length_b 5.0007
_cell_length_c 5.0007
_cell_angle_alpha 60.00
_cell_angle_beta 60.00
_cell_angle_gamma 60.00
loop_
_symmetry_equiv_pos_as_xyz
'x,y,z'
loop_
_atom_site_label
_atom_site_type_symbol
_atom_site_fract_x
_atom_site_fract_y
_atom_site_fract_z
Na1 Na 0.0000 0.0000 0.0000
Y1 Y 0.5000 0.5000 0.5000
Nb1 Nb 0.2500 0.2500 0.2500
Nb2 Nb 0.7500 0.7500 0.7500
# **VASP energy**: -5.916 eV per atom

Computed size of the total moment (μB/f.u.) in order:
0.00; 1.44; 0.00; 0.00; 0.00; 0.00; 0.00; 0.00